Entry from Alexandria: Ba2ThCu2S6 after structural relaxation (GGA-PBE).

As for the total energy: -5.299 eV/atom.

It has space group C2/m (No. 12), with a = 12.830 Å, b = 6.392 Å, c = 8.246 Å, α = 90.00°, β = 119.13° and γ = 90.00°. Symmetry generates all atoms from Ba at (0.209, 0.000, 0.203), Th at (0.000, 0.000, 0.500), Cu at (0.070, 0.500, 0.265), S at (0.062, 0.249, 0.813) and S at (0.237, 0.000, 0.612).

Entry from Alexandria: CsCu2AgBr4 after structural relaxation (GGA-PBE).

As for the total energy: -3.002 eV/atom.

It has space group I222 (No. 23), with a = 6.987 Å, b = 8.810 Å, c = 9.234 Å, α = 90.00°, β = 90.00° and γ = 90.00°. Symmetry generates all atoms from Cs at (0.000, 0.000, 0.000), Cu at (0.000, 0.500, 0.143), Ag at (0.000, 0.000, 0.500) and Br at (0.250, 0.163, 0.331).